[1]
4
Lattice="-1.466 0.628 3.172 3.031 -0.946 1.588 1.962 5.864 -0.253" Properties=species:S:1:pos:R:3 comment="GGA-PBE Ti2TlHg, optimized geometry" delta_e_f_kj_per_mol_atoms=11 sg="P4/mmm (123)" dos_ef_per_ev_fu=4.41 pbc="T T T"
Hg 1.764 2.773 2.253
Ti 0.503 1.504 -0.065
Ti 1.459 4.360 -0.188
Tl 0.783 -0.159 2.380

***

[2]
6
Lattice="-3.458 -0.294 -1.684 1.568 -2.290 -2.820 -0.422 -7.460 5.825" Properties=species:S:1:pos:R:3 comment="GGA-PBE TaTeRu, optimized geometry" raw_formation_energy_ev_per_atom=-0.20 sg="P2_1/m (11)" dos_ef_per_ev_fu=2.13 e_above_lowest_polymorph_ev_per_fu=0.11 pbc="T T T"
Ru -2.451 -8.595 1.454
Ru 0.139 -1.451 -0.133
Te -2.695 -5.820 1.840
Ta -1.351 -7.346 3.827
Te 0.383 -4.225 -0.519
Ta -0.961 -2.699 -2.506

***

Number 1: final energy -4.50 eV/atom. Number 2: final energy -8.29 eV/atom.